VASP calculation (PBE with a Hubbard U) on a relaxed SrCaEuFeO6 crystal.

Geometry as extended XYZ:
```
10
Lattice="0.000 4.045 4.045 4.045 0.000 4.045 4.045 4.045 0.000" Properties=species:S:1:pos:R:3 pbc="T T T"
O 4.045 4.045 2.189
O 4.045 5.901 4.045
O 2.189 4.045 4.045
O 4.045 4.045 5.901
O 5.901 4.045 4.045
O 4.045 2.189 4.045
Fe 4.045 4.045 4.045
Eu 2.022 2.022 2.022
Sr 6.067 6.067 6.067
Ca 0.000 0.000 0.000
```

Total DFT energy (no corrections) in eV/atom: -6.99
Symmetry: F-43m, No. 216
Mass density in g/cm³: 5.41